Density functional theory data (PBE+U) for a relaxed structure of LiNdMo2O8.

POSCAR file:
```
LiNdMo2O8
1.0
6.8559 0.0069 0.0000
2.7459 6.2820 0.0000
-4.8009 -3.1444 3.7507
Nd O Li Mo
1 8 1 2
direct
0.5000 0.5000 0.0000
0.0661 0.6698 0.9044
0.7653 0.1616 0.0956
0.4041 0.8120 0.8903
0.3302 0.2347 0.3963
0.9217 0.5138 0.1097
0.4862 0.5959 0.4079
0.8384 0.9339 0.6037
0.1880 0.0783 0.5921
0.7500 0.2500 0.5000
0.0000 0.0000 0.0000
0.2500 0.7500 0.5000
```

Calculated values
* D(E_F): 0.0 states/eV/f.u.
* DFT total energy: -7.162 eV per atom